Record 1
K2ZnP2O7: optimized geometry, PBEsol.

DFT total energy = -314.5 eV per cell
volume = 14.58 A^3/atom
symmetry = P4_2/mnm, No. 136

Structure (POSCAR):
```
K2ZnP2O7
1.0
7.877 0.000 0.000
0.000 7.877 0.000
0.000 0.000 11.280
K Zn P O
8 4 8 28
direct
0.150 0.150 0.000 K
0.184 0.184 0.500 K
0.316 0.684 0.000 K
0.350 0.650 0.500 K
0.650 0.350 0.500 K
0.684 0.316 0.000 K
0.816 0.816 0.500 K
0.850 0.850 0.000 K
0.000 0.500 0.250 Zn
0.000 0.500 0.750 Zn
0.500 0.000 0.250 Zn
0.500 0.000 0.750 Zn
0.137 0.863 0.282 P
0.137 0.863 0.718 P
0.363 0.363 0.218 P
0.363 0.363 0.782 P
0.637 0.637 0.218 P
0.637 0.637 0.782 P
0.863 0.137 0.282 P
0.863 0.137 0.718 P
0.000 0.000 0.334 O
0.000 0.000 0.666 O
0.079 0.696 0.341 O
0.079 0.696 0.659 O
0.136 0.864 0.149 O
0.136 0.864 0.851 O
0.196 0.421 0.159 O
0.196 0.421 0.841 O
0.304 0.921 0.341 O
0.304 0.921 0.659 O
0.364 0.364 0.351 O
0.364 0.364 0.649 O
0.421 0.196 0.159 O
0.421 0.196 0.841 O
0.500 0.500 0.166 O
0.500 0.500 0.834 O
0.579 0.804 0.159 O
0.579 0.804 0.841 O
0.636 0.636 0.351 O
0.636 0.636 0.649 O
0.696 0.079 0.341 O
0.696 0.079 0.659 O
0.804 0.579 0.159 O
0.804 0.579 0.841 O
0.864 0.136 0.149 O
0.864 0.136 0.851 O
0.921 0.304 0.341 O
0.921 0.304 0.659 O
```


Record 2
KZr2P3O12: optimized geometry, PBEsol.

DFT total energy = -299.1 eV per cell
volume = 14.81 A^3/atom
symmetry = R-3c, No. 167

Structure (POSCAR):
```
KZr2P3O12
1.0
4.395 2.538 7.965
-4.395 2.538 7.965
0.000 -5.075 7.965
K Zr P O
2 4 6 24
direct
0.000 0.000 0.000 K
0.500 0.500 0.500 K
0.149 0.149 0.149 Zr
0.351 0.351 0.351 Zr
0.649 0.649 0.649 Zr
0.851 0.851 0.851 Zr
0.037 0.750 0.463 P
0.250 0.537 0.963 P
0.463 0.037 0.750 P
0.537 0.963 0.250 P
0.750 0.463 0.037 P
0.963 0.250 0.537 P
0.010 0.762 0.633 O
0.069 0.923 0.293 O
0.077 0.707 0.931 O
0.133 0.262 0.510 O
0.207 0.577 0.431 O
0.238 0.367 0.990 O
0.262 0.510 0.133 O
0.293 0.069 0.923 O
0.367 0.990 0.238 O
0.423 0.569 0.793 O
0.431 0.207 0.577 O
0.490 0.867 0.738 O
0.510 0.133 0.262 O
0.569 0.793 0.423 O
0.577 0.431 0.207 O
0.633 0.010 0.762 O
0.707 0.931 0.077 O
0.738 0.490 0.867 O
0.762 0.633 0.010 O
0.793 0.423 0.569 O
0.867 0.738 0.490 O
0.923 0.293 0.069 O
0.931 0.077 0.707 O
0.990 0.238 0.367 O
```


Record 3
KZrP2O8: optimized geometry, PBEsol.

DFT total energy = -186.2 eV per cell
volume = 15.30 A^3/atom
symmetry = C2/c, No. 15

Structure (POSCAR):
```
KZrP2O8
1.0
4.629 -2.679 0.000
4.629 2.679 0.000
-0.717 0.000 14.805
K Zr P O
2 2 4 16
direct
0.031 0.969 0.750 K
0.969 0.031 0.250 K
0.000 0.000 0.000 Zr
0.000 0.000 0.500 Zr
0.320 0.332 0.381 P
0.332 0.320 0.881 P
0.668 0.680 0.119 P
0.680 0.668 0.619 P
0.153 0.199 0.421 O
0.174 0.655 0.409 O
0.179 0.631 0.920 O
0.199 0.153 0.921 O
0.299 0.326 0.778 O
0.326 0.299 0.278 O
0.345 0.826 0.091 O
0.369 0.821 0.580 O
0.631 0.179 0.420 O
0.655 0.174 0.909 O
0.674 0.701 0.722 O
0.701 0.674 0.222 O
0.801 0.847 0.079 O
0.821 0.369 0.080 O
0.826 0.345 0.591 O
0.847 0.801 0.579 O
```


Record 4
K2PbO3: optimized geometry, PBEsol.

DFT total energy = -118.0 eV per cell
volume = 18.32 A^3/atom
symmetry = Pnma, No. 62

Structure (POSCAR):
```
K2PbO3
1.0
6.013 0.000 0.000
0.000 10.593 0.000
0.000 0.000 6.901
K Pb O
8 4 12
direct
0.232 0.085 0.111 K
0.232 0.415 0.111 K
0.268 0.585 0.611 K
0.268 0.915 0.611 K
0.732 0.085 0.389 K
0.732 0.415 0.389 K
0.768 0.585 0.889 K
0.768 0.915 0.889 K
0.228 0.750 0.150 Pb
0.272 0.250 0.650 Pb
0.728 0.750 0.350 Pb
0.772 0.250 0.850 Pb
0.009 0.115 0.718 O
0.009 0.385 0.718 O
0.123 0.750 0.869 O
0.377 0.250 0.369 O
0.491 0.615 0.218 O
0.491 0.885 0.218 O
0.509 0.115 0.782 O
0.509 0.385 0.782 O
0.623 0.750 0.631 O
0.877 0.250 0.131 O
0.991 0.615 0.282 O
0.991 0.885 0.282 O
```


Record 5
K6Pb2O5: optimized geometry, PBEsol.

DFT total energy = -114.7 eV per cell
volume = 22.58 A^3/atom
symmetry = P-1, No. 2

Structure (POSCAR):
```
K6Pb2O5
1.0
6.397 0.000 0.000
0.271 7.571 0.000
1.214 2.312 12.120
K Pb O
12 4 10
direct
0.067 0.390 0.134 K
0.091 0.864 0.126 K
0.185 0.050 0.378 K
0.193 0.512 0.379 K
0.279 0.701 0.626 K
0.422 0.410 0.883 K
0.578 0.590 0.117 K
0.721 0.299 0.374 K
0.807 0.488 0.621 K
0.815 0.950 0.622 K
0.909 0.136 0.874 K
0.933 0.610 0.866 K
0.257 0.210 0.638 Pb
0.411 0.872 0.855 Pb
0.589 0.128 0.145 Pb
0.743 0.790 0.362 Pb
0.015 0.242 0.525 O
0.118 0.386 0.744 O
0.144 0.948 0.746 O
0.247 0.672 0.979 O
0.418 0.305 0.243 O
0.582 0.695 0.757 O
0.753 0.328 0.021 O
0.856 0.052 0.254 O
0.882 0.614 0.256 O
0.985 0.758 0.475 O
```


Record 6
K2PbO3: optimized geometry, PBEsol.

DFT total energy = -59.0 eV per cell
volume = 18.43 A^3/atom
symmetry = Cmc2_1, No. 36

Structure (POSCAR):
```
K2PbO3
1.0
5.332 -3.454 0.000
5.332 3.454 0.000
0.000 0.000 6.002
K Pb O
4 2 6
direct
0.025 0.302 0.000 K
0.302 0.025 0.500 K
0.698 0.975 0.000 K
0.975 0.698 0.500 K
0.400 0.600 0.036 Pb
0.600 0.400 0.536 Pb
0.120 0.880 0.145 O
0.331 0.402 0.770 O
0.402 0.331 0.270 O
0.598 0.669 0.770 O
0.669 0.598 0.270 O
0.880 0.120 0.645 O
```